A geometry-optimized Tm3NbN4 structure. Source: the Alexandria database, functional PBE.

Lattice parameters (Å, degrees): 3.3057 5.7467 5.7467 109.16 90.00 90.00
Last column: nearest neighbours and their distance in Å.
Positions (direct):
Nb (0.5000, 0.0000, 0.0000)  6 N 2.26-2.29
Tm (0.0000, 0.0000, 0.5000)  6 N 2.34-2.35
Tm (0.5000, 0.5000, 0.5000)  6 N 2.40-2.42
Tm (0.0000, 0.5000, 0.0000)  6 N 2.34-2.35
N (0.0000, 0.2388, 0.2388)  2 Nb 2.29, 4 Tm 2.34-2.40
N (0.5000, 0.7585, 0.2415)  1 Nb 2.26, 5 Tm 2.35-2.42
N (0.0000, 0.7612, 0.7612)  2 Nb 2.29, 4 Tm 2.34-2.40
N (0.5000, 0.2415, 0.7585)  1 Nb 2.26, 5 Tm 2.35-2.42

Output
The density of states at the Fermi level comes out at 0.29 states/eV per atom. As for the total magnetization: 0.0 μB per formula unit. The uncorrected formation energy is -12.9 eV per formula unit. The mass density is 10.6 Mg/m³. The total energy comes out at -8.7167 eV/atom.

---

A geometry-optimized ZrGeIr2 structure. Source: the Alexandria database, functional PBE.

Lattice parameters (Å, degrees): 3.7719 4.1629 4.1629 90.00 90.00 90.00
Last column: nearest neighbours and their distance in Å.
Positions (direct):
Ge (0.5000, 0.0000, 0.0000)  8 Ir 2.81, 4 Zr 2.94
Ir (0.0000, 0.0000, 0.5000)  4 Zr 2.81, 4 Ge 2.81, 4 Ir 2.94
Ir (0.0000, 0.5000, 0.0000)  4 Ge 2.81, 4 Zr 2.81, 4 Ir 2.94
Zr (0.5000, 0.5000, 0.5000)  8 Ir 2.81, 4 Ge 2.94

Output
The density of states at the Fermi level comes out at 0.27 states/eV per atom. As for the total magnetization: 0.0 μB per formula unit. The calculation puts the formation energy at -0.552 eV per atom. The mass density is 13.9 Mg/m³. The total energy comes out at -8.2741 eV/atom.

---

A geometry-optimized CrInCo2 structure. Source: the Alexandria database, functional PBE.

Lattice parameters (Å, degrees): 8.2525 8.2525 8.2525 19.55 19.55 19.55
Last column: nearest neighbours and their distance in Å.
Positions (direct):
Co (0.9906, 0.9906, 0.9906)  3 Cr 2.42
Co (0.5094, 0.5094, 0.5094)  3 Cr 2.42
Cr (0.2500, 0.2500, 0.2500)  6 Co 2.42
In (0.7500, 0.7500, 0.7500)  6 Co 2.77, 6 In 2.80

Output
The density of states at the Fermi level comes out at 1.54 states/eV per atom. As for the total magnetization: 2.5 μB per formula unit. The calculation puts the formation energy at 0.439 eV per atom. The mass density is 8.6 Mg/m³. The total energy comes out at -6.2047 eV/atom.